First-principles (GGA+U) data for a relaxed ErTlVO4 crystal, as listed in Alexandria.

**DFT total energy**: -99.2 eV/cell
**Symmetry**: P2_1/m (11)

a = 5.9942 Å, b = 5.9030 Å, c = 7.5536 Å
α = 90.00°, β = 105.26°, γ = 90.00°
Atoms (fractional coordinates):
O (0.9276, 0.0251, 0.6556)
O (0.0724, 0.5251, 0.3444)
O (0.5086, 0.2500, 0.4234)
Er (0.8252, 0.7500, 0.4490)
V (0.6979, 0.2500, 0.6431)
O (0.0724, 0.9749, 0.3444)
V (0.3021, 0.7500, 0.3569)
Tl (0.2792, 0.2500, 0.0836)
O (0.9276, 0.4749, 0.6556)
Er (0.1748, 0.2500, 0.5510)
O (0.5099, 0.2500, 0.7915)
Tl (0.7208, 0.7500, 0.9164)
O (0.4901, 0.7500, 0.2085)
O (0.4914, 0.7500, 0.5766)